1.
TaBeAsSe2 PBE optimized geometry; uncorrected formation energy = 0.534 eV/atom; energy above the lowest structure with this stoichiometry = 0.000 eV/atom; crystal system = tetragonal
1.0
4.970 0.000 0.000
0.000 4.970 0.000
0.000 0.000 5.116
Be Ta As Se
1 1 1 2
direct
0.500 0.500 0.500 Be
0.000 0.000 0.000 Ta
0.000 0.000 0.500 As
0.500 0.000 0.000 Se
0.000 0.500 0.000 Se


2.
Tb4RuSe2Cl PBE optimized geometry; uncorrected formation energy = -1.273 eV/atom; crystal system = monoclinic
1.0
-0.061 -0.732 -3.880
2.585 -6.660 1.217
-5.670 -4.314 0.903
Ru Tb Se Cl
1 4 2 1
direct
0.500 0.500 0.000 Ru
0.500 0.258 0.776 Tb
0.000 0.271 0.224 Tb
0.500 0.742 0.224 Tb
0.000 0.729 0.776 Tb
0.000 0.000 0.000 Se
0.500 0.000 0.500 Se
0.000 0.500 0.500 Cl


3.
Ag4Se2S PBE optimized geometry; uncorrected formation energy = 0.012 eV/atom; energy above the lowest structure with this stoichiometry = 0.000 eV/atom; crystal system = monoclinic
1.0
4.240 0.000 0.000
0.000 7.244 0.003
-2.120 -3.521 4.847
Ag Se S
4 2 1
direct
0.151 0.860 0.302 Ag
0.350 0.758 0.700 Ag
0.650 0.242 0.300 Ag
0.849 0.140 0.698 Ag
0.370 0.393 0.740 Se
0.630 0.607 0.260 Se
0.000 0.000 0.000 S


4.
GaAg2H2 PBE optimized geometry; energy above the lowest structure with this stoichiometry = 0.113 eV/atom; crystal system = tetragonal
1.0
7.366 0.000 0.000
0.000 7.366 0.000
0.000 0.000 2.804
H Ag Ga
4 4 2
direct
0.244 0.256 0.500 H
0.744 0.244 0.500 H
0.756 0.744 0.500 H
0.256 0.756 0.500 H
0.136 0.364 0.000 Ag
0.364 0.864 0.000 Ag
0.864 0.636 0.000 Ag
0.636 0.136 0.000 Ag
0.000 0.000 0.000 Ga
0.500 0.500 0.000 Ga


5.
ThSi2Ag4 PBE optimized geometry; uncorrected formation energy = -0.255 eV/atom; crystal system = monoclinic
1.0
-0.283 -2.087 -3.641
0.627 -3.622 2.028
-7.295 0.322 2.830
Ag Th Si
4 1 2
direct
0.320 0.000 0.639 Ag
0.179 0.500 0.358 Ag
0.680 0.000 0.361 Ag
0.821 0.500 0.642 Ag
0.000 0.000 0.000 Th
0.577 0.500 0.155 Si
0.423 0.500 0.845 Si


6.
Er3Mg5Rh2 PBE optimized geometry; calculated formation energy = -300 meV/atom; crystal system = orthorhombic
1.0
-0.122 -3.064 5.239
8.742 -0.339 3.523
1.336 6.067 7.096
Mg Er Rh
10 6 4
direct
0.928 0.348 0.795 Mg
0.555 0.695 0.695 Mg
0.445 0.305 0.305 Mg
0.572 0.205 0.652 Mg
0.250 0.500 0.500 Mg
0.428 0.795 0.348 Mg
0.072 0.652 0.205 Mg
0.750 0.500 0.500 Mg
0.055 0.695 0.695 Mg
0.945 0.305 0.305 Mg
0.174 0.033 0.619 Er
0.250 0.000 0.000 Er
0.750 0.000 0.000 Er
0.826 0.967 0.381 Er
0.326 0.381 0.967 Er
0.674 0.619 0.033 Er
0.339 0.101 0.222 Rh
0.839 0.222 0.101 Rh
0.161 0.778 0.899 Rh
0.661 0.899 0.778 Rh


Results for density of states at the Fermi level: 3.1; 6.2; 1.2; 1.3; 3.6; 6.7 (in states/eV/f.u., following the order of the records).
Results for magnetization: 0.00; 0.00; 0.00; 0.00; 0.00; 0.00 (in μB/cell, following the order of the records).